Record 1
Compound: PrEr2Zn2Ge2
Source: Alexandria
Functional: GGA-PBE
Structure: optimized geometry

Geometry as POSCAR:
```
PrEr2Zn2Ge2
1.0
2.0772 1.1993 11.1916
-2.0772 1.1993 11.1916
0.0000 -2.3986 11.1916
Pr Er Zn Ge
1 2 2 2
Cartesian
0.0000 0.0000 0.0000 Pr
0.0000 0.0000 4.1883 Er
0.0000 0.0000 29.3864 Er
0.0000 0.0000 13.2396 Zn
0.0000 0.0000 20.3351 Zn
0.0000 0.0000 8.8262 Ge
0.0000 0.0000 24.7485 Ge
```

---

Record 2
Compound: Er2GePt9
Source: Alexandria
Functional: GGA-PBE
Structure: optimized geometry

Geometry as POSCAR:
```
Er2GePt9
1.0
4.0682 0.0000 0.0000
0.0000 4.0682 0.0000
0.0000 0.0000 12.1210
Er Ge Pt
2 1 9
Cartesian
0.0000 0.0000 2.0423 Er
0.0000 0.0000 10.0787 Er
0.0000 0.0000 6.0605 Ge
0.0000 2.0341 0.0000 Pt
0.0000 2.0341 4.1548 Pt
0.0000 2.0341 7.9662 Pt
2.0341 0.0000 0.0000 Pt
2.0341 0.0000 4.1548 Pt
2.0341 0.0000 7.9662 Pt
2.0341 2.0341 2.0958 Pt
2.0341 2.0341 6.0605 Pt
2.0341 2.0341 10.0251 Pt
```

---

| no. | DFT formation energy (kJ per mole of atoms) | M_tot (μB per formula unit) |
| --- | --- | --- |
| 1 | -42.8 | 0.0 |
| 2 | -76.7 | 0.0 |